1.
A plane-wave DFT calculation with PBE was carried out for CaMg12In6 after structural relaxation.

abc: 8.306 8.306 8.306
angles: 105.27 105.27 105.27
Fractional coordinates of all 19 atoms:
Mg1 0.113 0.887 0.500
In1 0.273 0.717 0.273
In2 0.727 0.283 0.727
Mg2 0.887 0.113 0.500
Mg3 0.394 0.394 0.145
In3 0.273 0.273 0.717
In4 0.717 0.273 0.273
Mg4 0.113 0.500 0.887
Ca1 0.000 0.000 0.000
Mg5 0.394 0.145 0.394
Mg6 0.606 0.606 0.855
Mg7 0.606 0.855 0.606
Mg8 0.145 0.394 0.394
Mg9 0.887 0.500 0.113
Mg10 0.500 0.887 0.113
In5 0.727 0.727 0.283
Mg11 0.855 0.606 0.606
Mg12 0.500 0.113 0.887
In6 0.283 0.727 0.727

energy of formation: 0.02 eV per atom

2.
A plane-wave DFT calculation with PBE was carried out for La4HoAg5 after structural relaxation.

abc: 3.738 3.738 19.358
angles: 90.00 90.00 90.00
Fractional coordinates of all 10 atoms:
La1 0.000 0.000 0.193
La2 0.000 0.000 0.807
Ag1 0.500 0.500 0.704
Ag2 0.500 0.500 0.500
Ag3 0.500 0.500 0.296
Ag4 0.500 0.500 0.914
La3 0.000 0.000 0.398
Ho1 0.000 0.000 0.000
Ag5 0.500 0.500 0.086
La4 0.000 0.000 0.602

energy of formation: -0.27 eV per atom